(1)
Here is an optimized crystal structure of CuSiTe2 from Alexandria. Energies are from GGA-PBE.

Output
VASP energy (eV/atom): -3.685
Formation energy (no corrections) (eV/atom): 0.2661

```
data_CuSiTe2
_space_group_name_H-M_alt 'I m m 2'
_space_group_IT_number 44
_space_group_name_Hall 'I 2 -2'
_cell_length_a 3.174
_cell_length_b 3.995
_cell_length_c 15.866
_cell_angle_alpha 90.00
_cell_angle_beta 90.00
_cell_angle_gamma 90.00
loop_
_atom_site_label
_atom_site_type_symbol
_atom_site_fract_x
_atom_site_fract_y
_atom_site_fract_z
_atom_site_occupancy
Cu1 Cu 0.000 0.000 0.000 1
Si1 Si 0.000 0.500 0.617 1
Te1 Te 0.000 0.000 0.433 1
Te2 Te 0.000 0.500 0.209 1
```



(2)
Here is an optimized crystal structure of Zr8In2Sn from Alexandria. Energies are from GGA-PBE.

Output
Formation energy from the elements (meV per atom): -75
VASP energy (eV/atom): -7.153

```
data_Zr8In2Sn
_space_group_name_H-M_alt 'C 1 2/m 1'
_space_group_IT_number 12
_space_group_name_Hall '-C 2y'
_cell_length_a 7.946
_cell_length_b 13.929
_cell_length_c 5.286
_cell_angle_alpha 90.00
_cell_angle_beta 117.89
_cell_angle_gamma 90.00
loop_
_atom_site_label
_atom_site_type_symbol
_atom_site_fract_x
_atom_site_fract_y
_atom_site_fract_z
_atom_site_occupancy
Zr1 Zr 0.000 0.215 0.000 1
Zr2 Zr 0.089 0.500 0.789 1
Zr3 Zr 0.206 0.111 0.661 1
In1 In 0.000 0.305 0.500 1
Sn1 Sn 0.000 0.000 0.000 1
```



(3)
Here is an optimized crystal structure of RbIn2Hg2Bi from Alexandria. Energies are from GGA-PBE.

Output
Formation energy from the elements (meV per atom): -148
VASP energy (eV/atom): -1.969

```
data_RbIn2Hg2Bi
_space_group_name_H-M_alt 'P -3 m 1'
_space_group_IT_number 164
_space_group_name_Hall '-P 3 2"'
_cell_length_a 5.2387
_cell_length_b 5.2387
_cell_length_c 8.5498
_cell_angle_alpha 90.00
_cell_angle_beta 90.00
_cell_angle_gamma 120.00
loop_
_atom_site_label
_atom_site_type_symbol
_atom_site_fract_x
_atom_site_fract_y
_atom_site_fract_z
_atom_site_occupancy
Rb1 Rb 0.0000 0.0000 0.0000 1
In1 In 0.3333 0.6667 0.3389 1
Hg1 Hg 0.3333 0.6667 0.7543 1
Bi1 Bi 0.0000 0.0000 0.5000 1
```